i | Crystalline MnW2Br at its relaxed geometry, computed with PBE.

Cell lengths 4.745, 3.778, 3.778 Å; angles 90.00, 90.00, 90.00 degrees
Fractional coordinates of all 4 atoms:
Br1 0.500 0.500 0.000
Mn1 0.500 0.000 0.500
W1 0.000 0.500 0.500
W2 0.000 0.000 0.000

## Properties
- N(E_F) (states/eV/cell) = 2.0
- space-group type = P4/mmm

=====

ii | Crystalline MnW2Br at its relaxed geometry, computed with PBE.

Cell lengths 5.256, 5.256, 5.256 Å; angles 147.56, 128.85, 61.89 degrees
Fractional coordinates of all 4 atoms:
W1 0.731 0.231 0.500
Br1 0.486 0.486 0.000
W2 0.023 0.023 0.000
Mn1 0.260 0.760 0.500

## Properties
- N(E_F) (states/eV/cell) = 3.2
- space-group type = Imm2

=====

Energetically preferred structure: ii | next structure: +224 meV per atom

=====

i | Crystalline MnW2Br at its relaxed geometry, computed with PBE.

Cell lengths 5.001, 5.001, 2.897 Å; angles 90.00, 90.00, 116.39 degrees
Fractional coordinates of all 4 atoms:
Br1 0.500 0.000 0.500
Mn1 0.000 0.500 0.500
W1 0.000 0.000 0.000
W2 0.500 0.500 0.000

## Properties
- N(E_F) (states/eV/cell) = 3.9
- space-group type = Cmmm

=====

ii | Crystalline MnW2Br at its relaxed geometry, computed with PBE.

Cell lengths 4.926, 4.926, 4.673 Å; angles 82.41, 82.41, 36.43 degrees
Fractional coordinates of all 4 atoms:
Mn1 0.750 0.750 0.750
W1 0.016 0.016 0.964
W2 0.484 0.484 0.536
Br1 0.250 0.250 0.250

## Properties
- N(E_F) (states/eV/cell) = 2.6
- space-group type = C2/m

=====

Energetically preferred structure: ii | next structure: +287 meV per atom

=====

i | Crystalline MnZn3Br at its relaxed geometry, computed with PBE.

Cell lengths 5.166, 5.166, 5.166 Å; angles 90.00, 90.00, 90.00 degrees
Fractional coordinates of all 5 atoms:
Mn1 0.500 0.500 0.500
Br1 0.000 0.000 0.000
Zn1 0.500 0.000 0.000
Zn2 0.000 0.500 0.000
Zn3 0.000 0.000 0.500

## Properties
- N(E_F) (states/eV/cell) = 4.8
- space-group type = Pm-3m

=====

ii | Crystalline MnZn3Br at its relaxed geometry, computed with PBE.

Cell lengths 4.998, 4.998, 4.998 Å; angles 90.00, 90.00, 90.00 degrees
Fractional coordinates of all 5 atoms:
Zn1 0.500 0.000 0.000
Zn2 0.000 0.500 0.000
Mn1 0.000 0.000 0.000
Zn3 0.000 0.000 0.500
Br1 0.500 0.500 0.500

## Properties
- N(E_F) (states/eV/cell) = 2.4
- space-group type = Pm-3m

=====

Energetically preferred structure: ii | next structure: +626 meV per atom

=====

i | Crystalline ZrMn3Br at its relaxed geometry, computed with PBE.

Cell lengths 4.305, 4.305, 4.305 Å; angles 90.00, 90.00, 90.00 degrees
Fractional coordinates of all 5 atoms:
Mn1 0.000 0.000 0.500
Mn2 0.000 0.500 0.000
Br1 0.000 0.000 0.000
Mn3 0.500 0.000 0.000
Zr1 0.500 0.500 0.500

## Properties
- N(E_F) (states/eV/cell) = 6.1
- space-group type = Pm-3m

=====

ii | Crystalline ZrMn3Br at its relaxed geometry, computed with PBE.

Cell lengths 5.139, 5.139, 5.139 Å; angles 90.00, 90.00, 90.00 degrees
Fractional coordinates of all 5 atoms:
Mn1 0.000 0.000 0.500
Mn2 0.000 0.500 0.000
Br1 0.500 0.500 0.500
Zr1 0.000 0.000 0.000
Mn3 0.500 0.000 0.000

## Properties
- N(E_F) (states/eV/cell) = 4.7
- space-group type = Pm-3m

=====

Energetically preferred structure: i | next structure: +288 meV per atom